Entry 1:
# Ac2TePd, optimized geometry, DFT PBE
# M_tot: 1.66 μB per formula unit
# Energy relative to the elements, uncorrected: -825 meV/atom
# VASP energy: -19.851 eV/f.u.
# Calculated volume: 31.37 A^3/atom
# Polymorph energy (0 for the lowest one): 308 meV per atom
# D(E_F): 3.5 states/eV per cell
data_Ac2TePd
_chemical_formula_sum 'Ac2 Te1 Pd1'
_space_group_name_H-M_alt 'P 1'
_space_group_IT_number 1
_space_group_name_Hall 'P 1'
_cell_length_a 5.620
_cell_length_b 5.620
_cell_length_c 5.620
_cell_angle_alpha 60.00
_cell_angle_beta 60.00
_cell_angle_gamma 60.00
loop_
_atom_site_label
_atom_site_type_symbol
_atom_site_fract_x
_atom_site_fract_y
_atom_site_fract_z
Ac1 Ac 0.250 0.250 0.250
Ac2 Ac 0.750 0.750 0.750
Te1 Te 0.000 0.000 0.000
Pd1 Pd 0.500 0.500 0.500

=====

Entry 2:
# Sc5Zn2Bi, optimized geometry, DFT PBE
# M_tot: 0.00 μB per formula unit
# VASP energy: -41.190 eV/f.u.
# Calculated volume: 21.98 A^3/atom
# DFT formation energy: -3.10 eV/f.u.
# D(E_F): 10.6 states/eV per cell
data_Sc5Zn2Bi
_chemical_formula_sum 'Sc10 Zn4 Bi2'
_space_group_name_H-M_alt 'P 1'
_space_group_IT_number 1
_space_group_name_Hall 'P 1'
_cell_length_a 7.615
_cell_length_b 7.615
_cell_length_c 8.110
_cell_angle_alpha 118.00
_cell_angle_beta 118.00
_cell_angle_gamma 90.00
loop_
_atom_site_label
_atom_site_type_symbol
_atom_site_fract_x
_atom_site_fract_y
_atom_site_fract_z
Sc1 Sc 0.508 0.704 0.713
Sc2 Sc 0.796 0.992 0.287
Sc3 Sc 0.000 0.000 0.000
Sc4 Sc 0.500 0.500 0.000
Sc5 Sc 0.204 0.008 0.713
Sc6 Sc 0.704 0.204 0.713
Sc7 Sc 0.008 0.508 0.713
Sc8 Sc 0.296 0.796 0.287
Sc9 Sc 0.992 0.492 0.287
Sc10 Sc 0.492 0.296 0.287
Zn1 Zn 0.140 0.360 0.000
Zn2 Zn 0.640 0.140 0.000
Zn3 Zn 0.360 0.860 0.000
Zn4 Zn 0.860 0.640 0.000
Bi1 Bi 0.750 0.750 0.500
Bi2 Bi 0.250 0.250 0.500

=====

Entry 3:
# ZrReOs, optimized geometry, DFT PBE
# M_tot: 0.00 μB per formula unit
# VASP energy: -31.856 eV/f.u.
# Calculated volume: 16.67 A^3/atom
# Polymorph energy (0 for the lowest one): 298 meV per atom
# DFT formation energy: 0.37 eV/f.u.
# D(E_F): 3.0 states/eV per cell
data_ZrReOs
_chemical_formula_sum 'Zr1 Re1 Os1'
_space_group_name_H-M_alt 'P 1'
_space_group_IT_number 1
_space_group_name_Hall 'P 1'
_cell_length_a 4.510
_cell_length_b 4.510
_cell_length_c 2.839
_cell_angle_alpha 90.00
_cell_angle_beta 90.00
_cell_angle_gamma 120.00
loop_
_atom_site_label
_atom_site_type_symbol
_atom_site_fract_x
_atom_site_fract_y
_atom_site_fract_z
Os1 Os 0.000 0.000 0.013
Re1 Re 0.667 0.333 0.324
Zr1 Zr 0.333 0.667 0.663

=====

Entry 4:
# PaHg2Bi, optimized geometry, DFT PBE
# M_tot: 0.83 μB per formula unit
# VASP energy: -12.768 eV/f.u.
# Calculated volume: 28.48 A^3/atom
# Polymorph energy (0 for the lowest one): 381 meV per atom
# DFT formation energy: 1.21 eV/f.u.
# D(E_F): 5.3 states/eV per cell
data_PaHg2Bi
_chemical_formula_sum 'Pa1 Hg2 Bi1'
_space_group_name_H-M_alt 'P 1'
_space_group_IT_number 1
_space_group_name_Hall 'P 1'
_cell_length_a 3.305
_cell_length_b 3.305
_cell_length_c 12.194
_cell_angle_alpha 82.21
_cell_angle_beta 82.21
_cell_angle_gamma 60.00
loop_
_atom_site_label
_atom_site_type_symbol
_atom_site_fract_x
_atom_site_fract_y
_atom_site_fract_z
Pa1 Pa 0.000 0.000 0.000
Bi1 Bi 0.500 0.500 0.500
Hg1 Hg 0.086 0.086 0.741
Hg2 Hg 0.914 0.914 0.259

=====

Entry 5:
# Rb2MgSbI6, optimized geometry, DFT PBE
# M_tot: 0.00 μB per formula unit
# Energy relative to the elements, uncorrected: -874 meV/atom
# VASP energy: -25.690 eV/f.u.
# Calculated volume: 44.68 A^3/atom
# D(E_F): 3.6 states/eV per cell
data_Rb2MgSbI6
_chemical_formula_sum 'Rb2 Mg1 Sb1 I6'
_space_group_name_H-M_alt 'P 1'
_space_group_IT_number 1
_space_group_name_Hall 'P 1'
_cell_length_a 8.583
_cell_length_b 8.583
_cell_length_c 8.580
_cell_angle_alpha 59.99
_cell_angle_beta 59.99
_cell_angle_gamma 90.00
loop_
_atom_site_label
_atom_site_type_symbol
_atom_site_fract_x
_atom_site_fract_y
_atom_site_fract_z
I1 I 0.256 0.256 0.488
I2 I 0.744 0.744 0.512
I3 I 0.255 0.255 0.000
I4 I 0.745 0.745 0.000
I5 I 0.745 0.255 0.000
I6 I 0.255 0.745 0.000
Sb1 Sb 0.000 0.000 0.000
Mg1 Mg 0.500 0.500 0.000
Rb1 Rb 0.750 0.250 0.500
Rb2 Rb 0.250 0.750 0.500

=====

Entry 6:
# ScInBr2, optimized geometry, DFT PBE
# M_tot: 1.77 μB per formula unit
# Energy relative to the elements, uncorrected: -207 meV/atom
# VASP energy: -13.243 eV/f.u.
# Calculated volume: 26.92 A^3/atom
# Polymorph energy (0 for the lowest one): 775 meV per atom
# D(E_F): 5.2 states/eV per cell
data_ScInBr2
_chemical_formula_sum 'Sc1 In1 Br2'
_space_group_name_H-M_alt 'P 1'
_space_group_IT_number 1
_space_group_name_Hall 'P 1'
_cell_length_a 5.340
_cell_length_b 5.340
_cell_length_c 5.340
_cell_angle_alpha 60.00
_cell_angle_beta 60.00
_cell_angle_gamma 60.00
loop_
_atom_site_label
_atom_site_type_symbol
_atom_site_fract_x
_atom_site_fract_y
_atom_site_fract_z
Br1 Br 0.000 0.000 0.000
Br2 Br 0.750 0.750 0.750
In1 In 0.500 0.500 0.500
Sc1 Sc 0.250 0.250 0.250

=====

Entry 7:
# Ho2TmFe, optimized geometry, DFT PBE
# M_tot: 0.00 μB per formula unit
# VASP energy: -21.720 eV/f.u.
# Calculated volume: 24.66 A^3/atom
# Polymorph energy (0 for the lowest one): 123 meV per atom
# DFT formation energy: 0.37 eV/f.u.
# D(E_F): 4.2 states/eV per cell
data_Ho2TmFe
_chemical_formula_sum 'Ho2 Tm1 Fe1'
_space_group_name_H-M_alt 'P 1'
_space_group_IT_number 1
_space_group_name_Hall 'P 1'
_cell_length_a 3.331
_cell_length_b 3.331
_cell_length_c 8.890
_cell_angle_alpha 90.00
_cell_angle_beta 90.00
_cell_angle_gamma 90.00
loop_
_atom_site_label
_atom_site_type_symbol
_atom_site_fract_x
_atom_site_fract_y
_atom_site_fract_z
Tm1 Tm 0.500 0.500 0.500
Ho1 Ho 0.000 0.000 0.819
Ho2 Ho 0.000 0.000 0.181
Fe1 Fe 0.500 0.500 0.000

=====

Entry 8:
# Li2VRh, optimized geometry, DFT PBE
# M_tot: 2.71 μB per formula unit
# VASP energy: -19.175 eV/f.u.
# Calculated volume: 13.31 A^3/atom
# Polymorph energy (0 for the lowest one): 103 meV per atom
# DFT formation energy: 1.12 eV/f.u.
# D(E_F): 4.1 states/eV per cell
data_Li2VRh
_chemical_formula_sum 'Li2 V1 Rh1'
_space_group_name_H-M_alt 'P 1'
_space_group_IT_number 1
_space_group_name_Hall 'P 1'
_cell_length_a 4.222
_cell_length_b 4.222
_cell_length_c 4.222
_cell_angle_alpha 60.00
_cell_angle_beta 60.00
_cell_angle_gamma 60.00
loop_
_atom_site_label
_atom_site_type_symbol
_atom_site_fract_x
_atom_site_fract_y
_atom_site_fract_z
V1 V 0.000 0.000 0.000
Rh1 Rh 0.500 0.500 0.500
Li1 Li 0.250 0.250 0.250
Li2 Li 0.750 0.750 0.750

=====

Entry 9:
# CeTmAg4, optimized geometry, DFT PBE
# M_tot: 1.04 μB per formula unit
# VASP energy: -22.967 eV/f.u.
# Calculated volume: 22.19 A^3/atom
# Polymorph energy (0 for the lowest one): 0 meV per atom
# DFT formation energy: -1.16 eV/f.u.
# D(E_F): 9.0 states/eV per cell
data_CeTmAg4
_chemical_formula_sum 'Ce1 Tm1 Ag4'
_space_group_name_H-M_alt 'P 1'
_space_group_IT_number 1
_space_group_name_Hall 'P 1'
_cell_length_a 3.648
_cell_length_b 5.386
_cell_length_c 7.742
_cell_angle_alpha 100.61
_cell_angle_beta 76.37
_cell_angle_gamma 70.20
loop_
_atom_site_label
_atom_site_type_symbol
_atom_site_fract_x
_atom_site_fract_y
_atom_site_fract_z
Ce1 Ce 0.000 0.000 0.000
Tm1 Tm 0.500 0.500 0.500
Ag1 Ag 0.850 0.481 0.820
Ag2 Ag 0.325 0.003 0.347
Ag3 Ag 0.150 0.519 0.180
Ag4 Ag 0.675 0.997 0.653

=====

Entry 10:
# NaBe3Re, optimized geometry, DFT PBE
# M_tot: 0.00 μB per formula unit
# VASP energy: -20.434 eV/f.u.
# Calculated volume: 17.02 A^3/atom
# Polymorph energy (0 for the lowest one): 0 meV per atom
# DFT formation energy: 4.51 eV/f.u.
# D(E_F): 2.8 states/eV per cell
data_NaBe3Re
_chemical_formula_sum 'Na1 Be3 Re1'
_space_group_name_H-M_alt 'P 1'
_space_group_IT_number 1
_space_group_name_Hall 'P 1'
_cell_length_a 4.398
_cell_length_b 4.398
_cell_length_c 4.398
_cell_angle_alpha 90.00
_cell_angle_beta 90.00
_cell_angle_gamma 90.00
loop_
_atom_site_label
_atom_site_type_symbol
_atom_site_fract_x
_atom_site_fract_y
_atom_site_fract_z
Re1 Re 0.000 0.000 0.000
Be1 Be 0.000 0.500 0.000
Be2 Be 0.000 0.000 0.500
Be3 Be 0.500 0.000 0.000
Na1 Na 0.500 0.500 0.500

=====

Entry 11:
# TiBSe2N, optimized geometry, DFT PBE
# M_tot: 0.28 μB per formula unit
# Energy relative to the elements, uncorrected: 4 meV/atom
# VASP energy: -29.848 eV/f.u.
# Calculated volume: 15.43 A^3/atom
# Polymorph energy (0 for the lowest one): 0 meV per atom
# D(E_F): 3.5 states/eV per cell
data_TiBSe2N
_chemical_formula_sum 'Ti1 B1 Se2 N1'
_space_group_name_H-M_alt 'P 1'
_space_group_IT_number 1
_space_group_name_Hall 'P 1'
_cell_length_a 5.350
_cell_length_b 5.350
_cell_length_c 2.695
_cell_angle_alpha 90.00
_cell_angle_beta 90.00
_cell_angle_gamma 90.00
loop_
_atom_site_label
_atom_site_type_symbol
_atom_site_fract_x
_atom_site_fract_y
_atom_site_fract_z
B1 B 0.000 0.000 0.000
N1 N 0.000 0.000 0.500
Se1 Se 0.000 0.500 0.000
Se2 Se 0.500 0.000 0.000
Ti1 Ti 0.500 0.500 0.500

=====

Question: Which of these has the lowest D(E_F)?
Answer: NaBe3Re